Density functional theory data (GGA-PBE) for an optimized crystal structure of Y2AgSe. Values from VASP.

Cell and atoms, written as Quantum ESPRESSO input:
```
&SYSTEM
  ibrav = 0, nat = 8, ntyp = 3
/
ATOMIC_SPECIES
Y 88.91 Y.upf
Ag 107.87 Ag.upf
Se 78.96 Se.upf
CELL_PARAMETERS angstrom
3.670 0.000 0.000
0.000 3.842 0.000
0.000 0.000 14.822
ATOMIC_POSITIONS crystal
Y 0.000 0.000 0.000
Y 0.000 0.500 0.244
Y 0.500 0.000 0.744
Y 0.500 0.500 0.500
Ag 0.000 0.500 0.838
Ag 0.500 0.000 0.338
Se 0.000 0.000 0.584
Se 0.500 0.500 0.084
```

Space-group type: Imm2
Formation energy from raw total energies (eV per atom): -0.81

Density functional theory data (GGA-PBE) for an optimized crystal structure of YAgSe. Values from VASP.

Cell and atoms, written as Quantum ESPRESSO input:
```
&SYSTEM
  ibrav = 0, nat = 12, ntyp = 3
/
ATOMIC_SPECIES
Y 88.91 Y.upf
Ag 107.87 Ag.upf
Se 78.96 Se.upf
CELL_PARAMETERS angstrom
6.875 0.000 0.000
0.000 6.875 0.000
0.000 0.000 6.875
ATOMIC_POSITIONS crystal
Y 0.000 0.000 0.000
Y 0.000 0.500 0.500
Y 0.500 0.000 0.500
Y 0.500 0.500 0.000
Ag 0.250 0.250 0.250
Ag 0.250 0.750 0.750
Ag 0.750 0.250 0.750
Ag 0.750 0.750 0.250
Se 0.250 0.250 0.750
Se 0.250 0.750 0.250
Se 0.750 0.250 0.250
Se 0.750 0.750 0.750
```

Space-group type: F-43m
Offset from the most stable computed form (eV per atom): 0.264
Formation energy from raw total energies (eV per atom): -0.73

Density functional theory data (GGA-PBE) for an optimized crystal structure of YAgSe2. Values from VASP.

Cell and atoms, written as Quantum ESPRESSO input:
```
&SYSTEM
  ibrav = 0, nat = 16, ntyp = 3
/
ATOMIC_SPECIES
Y 88.91 Y.upf
Ag 107.87 Ag.upf
Se 78.96 Se.upf
CELL_PARAMETERS angstrom
4.288 0.000 0.000
0.000 6.822 0.000
0.000 0.000 13.835
ATOMIC_POSITIONS crystal
Y 0.221 0.205 0.373
Y 0.279 0.795 0.873
Y 0.721 0.295 0.627
Y 0.779 0.705 0.127
Ag 0.006 0.706 0.372
Ag 0.494 0.294 0.872
Ag 0.506 0.794 0.628
Ag 0.994 0.206 0.128
Se 0.223 0.090 0.726
Se 0.228 0.492 0.526
Se 0.272 0.508 0.026
Se 0.277 0.910 0.226
Se 0.723 0.410 0.274
Se 0.728 0.008 0.474
Se 0.772 0.992 0.974
Se 0.777 0.590 0.774
```

Space-group type: P2_12_12_1
Formation energy from raw total energies (eV per atom): -1.21

| no. | uncorrected energy (eV/atom) | magnetization (μB per cell) |
| --- | --- | --- |
| 1 | -5.63 | 0.00 |
| 2 | -5.00 | 0.00 |
| 3 | -5.29 | 0.00 |